YSi2Sb: optimized geometry, GGA-PBE.

a = 3.3318 Å, b = 3.3318 Å, c = 8.0936 Å
α = 90.00°, β = 90.00°, γ = 90.00°
Fractional coordinates of all 4 atoms:
Y 0.0000 0.0000 0.0000
Si 0.0000 0.0000 0.6250
Si 0.5000 0.5000 0.7414
Sb 0.5000 0.5000 0.2814

Results
DFT total energy: -21.5 eV for the cell shown
Size of the total moment: 0.00 μB/atom